No. 1
# PBEsol BeNiHg2, optimized geometry
# Energy relative to the elements = 68 kJ/mol of formula units
# M_tot = 0.000 μB/f.u.
data_BeNiHg2
_space_group_name_H-M_alt 'A m m 2'
_space_group_IT_number 38
_space_group_name_Hall 'A 2 -2'
_cell_length_a 3.6637
_cell_length_b 3.5584
_cell_length_c 9.3482
_cell_angle_alpha 90.00
_cell_angle_beta 90.00
_cell_angle_gamma 90.00
loop_
_atom_site_label
_atom_site_fract_x
_atom_site_fract_y
_atom_site_fract_z
_atom_site_occupancy
Be1 0.0000 0.0000 0.0000 1
Ni1 0.5000 0.0000 0.1270 1
Hg1 0.0000 0.0000 0.7169 1
Hg2 0.5000 0.0000 0.4151 1

---

No. 2
# PBEsol BeNi2Hg, optimized geometry
# Energy relative to the elements = 22 kJ/mol of formula units
# M_tot = 0.000 μB/f.u.
data_BeNi2Hg
_space_group_name_H-M_alt 'P 4/m m m'
_space_group_IT_number 123
_space_group_name_Hall '-P 4 2'
_cell_length_a 3.6925
_cell_length_b 3.6925
_cell_length_c 3.5559
_cell_angle_alpha 90.00
_cell_angle_beta 90.00
_cell_angle_gamma 90.00
loop_
_atom_site_label
_atom_site_fract_x
_atom_site_fract_y
_atom_site_fract_z
_atom_site_occupancy
Be1 0.0000 0.0000 0.0000 1
Ni1 0.0000 0.5000 0.5000 1
Hg1 0.5000 0.5000 0.0000 1

---

No. 3
# PBEsol SrBeNi2Hg, optimized geometry
# Energy relative to the elements = 600 kJ/mol of formula units
# M_tot = 0.750 μB/f.u.
data_SrBeNi2Hg
_space_group_name_H-M_alt 'P 4/m m m'
_space_group_IT_number 123
_space_group_name_Hall '-P 4 2'
_cell_length_a 4.7726
_cell_length_b 4.7726
_cell_length_c 5.6411
_cell_angle_alpha 90.00
_cell_angle_beta 90.00
_cell_angle_gamma 90.00
loop_
_atom_site_label
_atom_site_fract_x
_atom_site_fract_y
_atom_site_fract_z
_atom_site_occupancy
Sr1 0.0000 0.0000 0.0000 1
Be1 0.5000 0.5000 0.0000 1
Ni1 0.0000 0.5000 0.5000 1
Hg1 0.0000 0.0000 0.5000 1

---

No. 4
# PBEsol BeHgP2O, optimized geometry
# Formation energy (no corrections) = -0.2 eV/f.u.
# M_tot = 0.000 μB/f.u.
data_BeHgP2O
_space_group_name_H-M_alt 'P 4/m m m'
_space_group_IT_number 123
_space_group_name_Hall '-P 4 2'
_cell_length_a 5.0852
_cell_length_b 5.0852
_cell_length_c 2.8976
_cell_angle_alpha 90.00
_cell_angle_beta 90.00
_cell_angle_gamma 90.00
loop_
_atom_site_label
_atom_site_fract_x
_atom_site_fract_y
_atom_site_fract_z
_atom_site_occupancy
Be1 0.0000 0.0000 0.0000 1
Hg1 0.5000 0.5000 0.5000 1
P1 0.0000 0.5000 0.0000 1
O1 0.0000 0.0000 0.5000 1

---

No. 5
# PBEsol RbBeHg2Os, optimized geometry
# Energy relative to the elements = 221 kJ/mol of formula units
# M_tot = 0.000 μB/f.u.
data_RbBeHg2Os
_space_group_name_H-M_alt 'P 4/m m m'
_space_group_IT_number 123
_space_group_name_Hall '-P 4 2'
_cell_length_a 5.2819
_cell_length_b 5.2819
_cell_length_c 4.4049
_cell_angle_alpha 90.00
_cell_angle_beta 90.00
_cell_angle_gamma 90.00
loop_
_atom_site_label
_atom_site_fract_x
_atom_site_fract_y
_atom_site_fract_z
_atom_site_occupancy
Rb1 0.0000 0.0000 0.0000 1
Be1 0.5000 0.5000 0.0000 1
Hg1 0.0000 0.5000 0.5000 1
Os1 0.5000 0.5000 0.5000 1

---

No. 6
# PBEsol BeHgP2, optimized geometry
# Energy relative to the elements = 168 kJ/mol of formula units
# M_tot = 0.000 μB/f.u.
data_BeHgP2
_space_group_name_H-M_alt 'C 1 2/m 1'
_space_group_IT_number 12
_space_group_name_Hall '-C 2y'
_cell_length_a 5.0018
_cell_length_b 7.0731
_cell_length_c 4.1435
_cell_angle_alpha 90.00
_cell_angle_beta 119.07
_cell_angle_gamma 90.00
loop_
_atom_site_label
_atom_site_fract_x
_atom_site_fract_y
_atom_site_fract_z
_atom_site_occupancy
Be1 0.0000 0.0000 0.0000 1
Hg1 0.0000 0.5000 0.0000 1
P1 0.2500 0.2500 0.5000 1

---

No. 7
# PBEsol BeHg2Pb, optimized geometry
# Energy relative to the elements = 173 kJ/mol of formula units
# Relative energy among the computed polymorphs = 189 meV per atom
# M_tot = 0.000 μB/f.u.
data_BeHg2Pb
_space_group_name_H-M_alt 'I 4/m m m'
_space_group_IT_number 139
_space_group_name_Hall '-I 4 2'
_cell_length_a 4.0585
_cell_length_b 4.0585
_cell_length_c 10.5976
_cell_angle_alpha 90.00
_cell_angle_beta 90.00
_cell_angle_gamma 90.00
loop_
_atom_site_label
_atom_site_fract_x
_atom_site_fract_y
_atom_site_fract_z
_atom_site_occupancy
Be1 0.0000 0.0000 0.0000 1
Hg1 0.0000 0.5000 0.2500 1
Pb1 0.0000 0.0000 0.5000 1

---

No. 8
# PBEsol BeHg2Pb, optimized geometry
# Energy relative to the elements = 109 kJ/mol of formula units
# Relative energy among the computed polymorphs = 23 meV per atom
# M_tot = 0.000 μB/f.u.
data_BeHg2Pb
_space_group_name_H-M_alt 'R 3 m'
_space_group_IT_number 160
_space_group_name_Hall 'R 3 -2"'
_cell_length_a 3.4626
_cell_length_b 3.4626
_cell_length_c 24.6276
_cell_angle_alpha 90.00
_cell_angle_beta 90.00
_cell_angle_gamma 120.00
loop_
_atom_site_label
_atom_site_fract_x
_atom_site_fract_y
_atom_site_fract_z
_atom_site_occupancy
Be1 0.0000 0.0000 0.0000 1
Hg1 0.0000 0.0000 0.2743 1
Hg2 0.0000 0.0000 0.5148 1
Pb1 0.0000 0.0000 0.7448 1

---

- Which value of M_tot does entry 2 give?
  0.000 μB/f.u.

---

- Which formula does entry 4 have?
  BeHgP2O